AcLa10Dy4 PBE relaxed; symmetry = I4/m, No. 87; E = -4.365 eV per atom; M_tot = 0.0000 μB per atom; formation enthalpy at 0 K = 6.31 eV per formula unit
1.0
-6.378 6.378 3.529
6.378 -6.378 3.529
6.378 6.378 -3.529
Ac La Dy
1 10 4
direct
0.000 0.000 0.000
0.048 0.631 0.163
0.115 0.952 0.584
0.250 0.750 0.500
0.369 0.531 0.416
0.469 0.885 0.837
0.531 0.115 0.163
0.631 0.469 0.584
0.750 0.250 0.500
0.885 0.048 0.416
0.952 0.369 0.837
0.325 0.432 0.757
0.432 0.675 0.107
0.568 0.325 0.893
0.675 0.568 0.243



Ac4La4Dy3 PBE relaxed; symmetry = Immm, No. 71; E = -4.338 eV per atom; M_tot = 0.0000 μB per atom; formation enthalpy at 0 K = 2.23 eV per formula unit
1.0
-1.848 5.886 9.912
1.848 -5.886 9.912
1.848 5.886 -9.912
Ac La Dy
4 4 3
direct
0.192 0.192 0.000
0.266 0.500 0.766
0.734 0.500 0.234
0.808 0.808 0.000
0.104 0.323 0.781
0.457 0.677 0.781
0.543 0.323 0.219
0.896 0.677 0.219
0.000 0.000 0.000
0.408 0.908 0.500
0.592 0.092 0.500



Ac8LaDy3 PBE relaxed; symmetry = Cm, No. 8; E = -4.206 eV per atom; M_tot = 0.0000 μB per atom; formation enthalpy at 0 K = 1.13 eV per formula unit
1.0
9.218 -3.058 0.000
9.218 3.058 0.000
-6.129 0.000 8.735
Ac La Dy
8 1 3
direct
0.000 0.000 0.000
0.002 0.002 0.660
0.253 0.253 0.927
0.371 0.371 0.690
0.506 0.506 0.186
0.627 0.627 0.965
0.742 0.742 0.727
0.877 0.877 0.222
0.126 0.126 0.450
0.252 0.252 0.259
0.494 0.494 0.497
0.751 0.751 0.407



AcLa2Dy4 PBE relaxed; symmetry = I4/mmm, No. 139; E = -4.416 eV per atom; M_tot = 0.0000 μB per atom; formation enthalpy at 0 K = 1.46 eV per formula unit
1.0
8.699 0.000 0.000
0.000 8.699 0.000
0.000 0.000 6.688
Ac La Dy
2 4 8
direct
0.000 0.000 0.000
0.500 0.500 0.500
0.000 0.500 0.250
0.000 0.500 0.750
0.500 0.000 0.250
0.500 0.000 0.750
0.195 0.195 0.500
0.195 0.805 0.500
0.305 0.305 0.000
0.305 0.695 0.000
0.695 0.305 0.000
0.695 0.695 0.000
0.805 0.195 0.500
0.805 0.805 0.500



AcLa3Dy12 PBE relaxed; symmetry = P4/mmm, No. 123; E = -4.594 eV per atom; M_tot = 0.0000 μB per atom; formation enthalpy at 0 K = 0.62 eV per formula unit
1.0
5.109 0.000 0.000
0.000 5.109 0.000
0.000 0.000 20.417
Ac La Dy
1 3 12
direct
0.000 0.000 0.000
0.000 0.000 0.252
0.000 0.000 0.500
0.000 0.000 0.748
0.000 0.500 0.128
0.000 0.500 0.376
0.000 0.500 0.624
0.000 0.500 0.872
0.500 0.000 0.128
0.500 0.000 0.376
0.500 0.000 0.624
0.500 0.000 0.872
0.500 0.500 0.000
0.500 0.500 0.252
0.500 0.500 0.500
0.500 0.500 0.748



Ac4LaDy2 PBE relaxed; symmetry = Cc, No. 9; E = -4.259 eV per atom; M_tot = 0.0000 μB per atom; formation enthalpy at 0 K = 0.75 eV per formula unit
1.0
3.401 -12.809 0.000
3.401 12.809 0.000
-3.354 0.000 6.463
Ac La Dy
8 2 4
direct
0.021 0.979 0.500
0.144 0.605 0.755
0.208 0.598 0.279
0.449 0.557 0.479
0.557 0.449 0.979
0.598 0.208 0.779
0.605 0.144 0.255
0.979 0.021 0.000
0.080 0.832 0.882
0.832 0.080 0.382
0.044 0.727 0.332
0.345 0.531 0.928
0.531 0.345 0.428
0.727 0.044 0.832



Ac3La2Dy4 PBE relaxed; symmetry = Pnnm, No. 58; E = -4.384 eV per atom; M_tot = 0.0000 μB per atom; formation enthalpy at 0 K = 1.13 eV per formula unit
1.0
7.200 0.000 0.000
0.000 16.040 0.000
0.000 0.000 5.922
Ac La Dy
6 4 8
direct
0.000 0.000 0.000
0.086 0.344 0.500
0.414 0.844 0.000
0.500 0.500 0.500
0.586 0.156 0.000
0.914 0.656 0.500
0.170 0.593 0.000
0.330 0.093 0.500
0.670 0.907 0.500
0.830 0.407 0.000
0.080 0.211 0.000
0.139 0.879 0.500
0.361 0.379 0.000
0.420 0.711 0.500
0.580 0.289 0.500
0.639 0.621 0.000
0.861 0.121 0.500
0.920 0.789 0.000



AcLa2Dy9 PBE relaxed; symmetry = P4/mmm, No. 123; E = -4.575 eV per atom; M_tot = 0.0001 μB per atom; formation enthalpy at 0 K = 0.49 eV per formula unit
1.0
5.116 0.000 0.000
0.000 5.116 0.000
0.000 0.000 15.340
Ac La Dy
1 2 9
direct
0.000 0.000 0.000
0.000 0.000 0.335
0.000 0.000 0.665
0.000 0.500 0.170
0.000 0.500 0.500
0.000 0.500 0.830
0.500 0.000 0.170
0.500 0.000 0.500
0.500 0.000 0.830
0.500 0.500 0.000
0.500 0.500 0.335
0.500 0.500 0.665



Ac2La7Dy3 PBE relaxed; symmetry = P2/m, No. 10; E = -4.634 eV per atom; M_tot = 0.0000 μB per atom; formation enthalpy at 0 K = 0.91 eV per formula unit
1.0
6.608 0.000 0.000
0.000 3.679 0.000
-1.639 0.000 18.211
Ac La Dy
2 7 3
direct
0.074 0.000 0.170
0.926 0.000 0.830
0.000 0.500 0.500
0.224 0.000 0.667
0.268 0.000 0.991
0.288 0.500 0.339
0.712 0.500 0.661
0.732 0.000 0.009
0.776 0.000 0.333
0.440 0.500 0.835
0.500 0.000 0.500
0.560 0.500 0.165



Ac6La2Dy PBE relaxed; symmetry = C2/m, No. 12; E = -4.156 eV per atom; M_tot = 0.0004 μB per atom; formation enthalpy at 0 K = 1.70 eV per formula unit
1.0
6.345 -3.848 0.000
6.345 3.848 0.000
-1.391 0.000 7.900
Ac La Dy
6 2 1
direct
0.131 0.646 0.653
0.156 0.156 0.862
0.354 0.869 0.347
0.646 0.131 0.653
0.844 0.844 0.138
0.869 0.354 0.347
0.349 0.349 0.266
0.651 0.651 0.734
0.500 0.500 0.000



Ac2LaDy PBE relaxed; symmetry = R-3m, No. 166; E = -4.206 eV per atom; M_tot = 0.0002 μB per atom; formation enthalpy at 0 K = 0.92 eV per formula unit
1.0
3.747 0.000 0.000
-1.873 3.245 0.000
0.000 0.000 39.666
Ac La Dy
6 3 3
direct
0.000 0.000 0.087
0.000 0.000 0.913
0.333 0.667 0.579
0.333 0.667 0.754
0.667 0.333 0.246
0.667 0.333 0.421
0.000 0.000 0.500
0.333 0.667 0.167
0.667 0.333 0.833
0.000 0.000 0.000
0.333 0.667 0.667
0.667 0.333 0.333



AcLa2Dy2 PBE relaxed; symmetry = Cmc2_1, No. 36; E = -4.510 eV per atom; M_tot = 0.0000 μB per atom; formation enthalpy at 0 K = 0.62 eV per formula unit
1.0
1.880 -7.873 0.000
1.880 7.873 0.000
0.000 0.000 12.661
Ac La Dy
2 4 4
direct
0.126 0.874 0.500
0.874 0.126 0.000
0.204 0.796 0.831
0.486 0.514 0.739
0.514 0.486 0.239
0.796 0.204 0.331
0.196 0.804 0.127
0.434 0.566 0.482
0.566 0.434 0.982
0.804 0.196 0.627



- The highest E belongs to which entry?
  Ac6La2Dy